# 1
PBE Rb2ErBeO4, optimized geometry; calculated total energy = -5.64 eV per atom; crystal system = orthorhombic; space-group type = Fddd (70); total magnetization = 1.02 μB per formula unit
1.0
0.0000 6.0192 11.5035
2.5308 0.0000 11.5035
2.5308 6.0192 0.0000
Rb Er Be O
4 2 2 8
direct
0.0533 0.0533 0.6967 Rb
0.3033 0.3033 0.9467 Rb
0.6967 0.6967 0.0533 Rb
0.9467 0.9467 0.3033 Rb
0.1250 0.1250 0.1250 Er
0.8750 0.8750 0.8750 Er
0.3750 0.3750 0.3750 Be
0.6250 0.6250 0.6250 Be
0.0597 0.6085 0.5221 O
0.3097 0.5221 0.6085 O
0.3915 0.9403 0.6903 O
0.4779 0.6903 0.9403 O
0.5221 0.3097 0.0597 O
0.6085 0.0597 0.3097 O
0.6903 0.4779 0.3915 O
0.9403 0.3915 0.4779 O



# 2
PBE Sr2ErBe2O6, optimized geometry; calculated total energy = -6.81 eV per atom; crystal system = trigonal; space-group type = R-3m (166); total magnetization = 0.67 μB per formula unit
1.0
2.7637 1.5956 5.6998
-2.7637 1.5956 5.6998
0.0000 -3.1913 5.6998
Sr Er Be O
2 1 2 6
direct
0.2082 0.2082 0.2082 Sr
0.7918 0.7918 0.7918 Sr
0.0000 0.0000 0.0000 Er
0.4219 0.4219 0.4219 Be
0.5781 0.5781 0.5781 Be
0.2589 0.7397 0.7397 O
0.2603 0.2603 0.7411 O
0.2603 0.7411 0.2603 O
0.7397 0.2589 0.7397 O
0.7397 0.7397 0.2589 O
0.7411 0.2603 0.2603 O



# 3
PBE Sr3ErBe2O6, optimized geometry; calculated total energy = -6.62 eV per atom; crystal system = trigonal; space-group type = P-3m1 (164); total magnetization = 0.00 μB per formula unit
1.0
5.6321 0.0000 0.0000
-2.8160 4.8775 0.0000
0.0000 0.0000 6.8455
Sr Er Be O
3 1 2 6
direct
0.0000 0.0000 0.0000 Sr
0.3333 0.6667 0.6861 Sr
0.6667 0.3333 0.3139 Sr
0.0000 0.0000 0.5000 Er
0.3333 0.6667 0.2605 Be
0.6667 0.3333 0.7395 Be
0.1763 0.3526 0.2948 O
0.1763 0.8237 0.2948 O
0.3526 0.1763 0.7052 O
0.6474 0.8237 0.2948 O
0.8237 0.1763 0.7052 O
0.8237 0.6474 0.7052 O